## LiHo4Ir (GGA-PBE)

Data for a relaxed LiHo4Ir crystal.

Structure (POSCAR):
```
LiHo4Ir
1.0
-4.988 4.988 3.654
4.988 -4.988 3.654
4.988 4.988 -3.654
Li Ho Ir
2 8 2
Direct
0.000 0.000 0.000 Li
0.750 0.250 0.500 Li
0.169 0.433 0.736 Ho
0.183 0.419 0.236 Ho
0.183 0.947 0.764 Ho
0.231 0.920 0.310 Ho
0.610 0.920 0.690 Ho
0.670 0.481 0.810 Ho
0.670 0.860 0.190 Ho
0.697 0.433 0.264 Ho
0.146 0.646 0.500 Ir
0.396 0.396 0.000 Ir
```

Output
* raw total energy: -4.913 eV per atom
* magnetization: 0.00 μB per formula unit
* calculated formation energy: -65 meV/atom
* volume: 30.3 A^3/atom

## Li2HoIr3 (GGA-PBE)

Data for a relaxed Li2HoIr3 crystal.

Structure (POSCAR):
```
Li2HoIr3
1.0
-4.048 4.514 2.634
4.048 -4.514 2.634
4.048 4.514 -2.634
Li Ho Ir
4 2 6
Direct
0.294 0.210 0.084 Li
0.374 0.790 0.584 Li
0.626 0.210 0.416 Li
0.706 0.790 0.916 Li
0.041 0.291 0.750 Ho
0.959 0.709 0.250 Ho
0.000 0.267 0.267 Ir
0.000 0.733 0.733 Ir
0.500 0.000 0.000 Ir
0.500 0.267 0.767 Ir
0.500 0.500 0.500 Ir
0.500 0.733 0.233 Ir
```

Output
* raw total energy: -6.135 eV per atom
* magnetization: 0.00 μB per formula unit
* calculated formation energy: -304 meV/atom
* volume: 16.0 A^3/atom

## LiHoIr (GGA-PBE)

Data for a relaxed LiHoIr crystal.

Structure (POSCAR):
```
LiHoIr
1.0
4.376 0.000 0.000
-2.188 3.790 0.000
0.000 0.000 3.281
Li Ho Ir
1 1 1
Direct
0.000 0.000 0.000 Li
0.667 0.333 0.500 Ho
0.333 0.667 0.000 Ir
```

Output
* raw total energy: -5.559 eV per atom
* magnetization: 0.00 μB per formula unit
* offset from the most stable computed form: 0.0 kJ per mole of atoms
* calculated formation energy: -442 meV/atom
* volume: 18.1 A^3/atom

## LiHoIr (GGA-PBE)

Data for a relaxed LiHoIr crystal.

Structure (POSCAR):
```
LiHoIr
1.0
3.197 0.000 0.000
0.000 4.434 0.000
0.000 0.000 4.573
Li Ho Ir
1 1 1
Direct
0.000 0.000 0.000 Li
0.000 0.500 0.500 Ho
0.500 0.500 0.000 Ir
```

Output
* raw total energy: -5.331 eV per atom
* magnetization: 0.00 μB per formula unit
* offset from the most stable computed form: 22.0 kJ per mole of atoms
* calculated formation energy: -214 meV/atom
* volume: 21.6 A^3/atom

Q: Which formula does entry 3 have?
A: LiHoIr